The following is a PBE calculation of a geometry-optimized CoAs2Au structure, from Alexandria via LeMat-Bulk.

a b c (Å): 4.0492 4.0570 8.2220
angles (deg): 90.00 90.00 90.00
Element x y z (fractional)
Co 0.0000 0.0000 0.0000
Co 0.5000 0.5000 0.0000
As 0.0000 0.5000 0.1827
As 0.0000 0.5000 0.8173
As 0.5000 0.0000 0.1827
As 0.5000 0.0000 0.8173
Au 0.0000 0.0000 0.5000
Au 0.5000 0.5000 0.5000

Properties
ΔE to the lowest computed polymorph ... 165 meV/atom
Space group ... Cmmm, No. 65
DFT formation energy ... 0.095 eV per atom
Final energy ... -4.83 eV/atom